A plane-wave DFT calculation with PBE-GGA was carried out for a relaxed structure of Ce2ReI.

Unit cell a=4.1081 b=4.1081 c=8.2999 alpha=75.67 beta=75.67 gamma=60.00
Last column: magnetic moment on the atom in μB.
Sites, in units of the cell vectors:
1 Re 0.0000 0.0000 0.0000  -0.04
2 Ce 0.2718 0.2718 0.1846  0.13
3 Ce 0.7282 0.7282 0.8154  0.13
4 I 0.5000 0.5000 0.5000  0.00

formation energy without anion corrections	-354	meV/atom
Fermi-level density of states	5.477	states/eV/f.u.
mass density	8.475	Mg/m³
relative energy among the computed polymorphs	0.0	meV/atom